Entry 1:
CuPbSe2: relaxed, PBE-GGA.

a = 5.4384 Å, b = 8.3293 Å, c = 4.9551 Å
α = 90.00°, β = 122.77°, γ = 90.00°
Space group C2/m (No. 12)
Inequivalent atoms, fractional coordinates:
Cu (0.0000, 0.0000, 0.0000) [2 per cell]
Pb (0.0000, 0.5000, 0.0000) [2 per cell]
Se (0.2500, 0.2500, 0.5000) [4 per cell]

Values from the calculation:
Formation energy from raw total energies ... 0.243 eV per formula unit
Fermi-level density of states ... 0.299 states/eV per atom

---

Entry 2:
VGaMo: relaxed, PBE-GGA.

a = 2.7194 Å, b = 5.2254 Å, c = 6.6718 Å
α = 74.28°, β = 83.81°, γ = 78.00°
Space group P-1 (No. 2)
Inequivalent atoms, fractional coordinates:
V (0.1249, 0.0858, 0.1613) [2 per cell]
Ga (0.2259, 0.2432, 0.5018) [2 per cell]
Mo (0.3830, 0.4149, 0.8308) [2 per cell]

Values from the calculation:
ΔE to the lowest computed polymorph ... 9.38 kJ/mol of atoms
Formation energy ... -102 meV/atom
Fermi-level density of states ... 0.440 states/eV per atom

---

What is the formula in the second record? VGaMo

---

Please write out number 2 again, unchanged.
VGaMo: relaxed, PBE-GGA.

a = 2.7194 Å, b = 5.2254 Å, c = 6.6718 Å
α = 74.28°, β = 83.81°, γ = 78.00°
Space group P-1 (No. 2)
Inequivalent atoms, fractional coordinates:
V (0.1249, 0.0858, 0.1613) [2 per cell]
Ga (0.2259, 0.2432, 0.5018) [2 per cell]
Mo (0.3830, 0.4149, 0.8308) [2 per cell]

Values from the calculation:
ΔE to the lowest computed polymorph ... 9.38 kJ/mol of atoms
Formation energy ... -102 meV/atom
Fermi-level density of states ... 0.440 states/eV per atom